# VCuO2

A relaxed VCuO2 crystal (PBE+U, Alexandria via LeMat-Bulk).

Values from the calculation:
Total magnetization in μB/f.u.: 0.0
Raw total energy in Ry per atom: -0.455

a = 2.9634 Å, b = 2.9634 Å, c = 5.9546 Å
α = 90.00°, β = 90.00°, γ = 120.00°
Space group P3m1 (No. 156)
Asymmetric unit:
1 V 0.0000 0.0000 0.0000 (multiplicity 1)
2 Cu 0.3333 0.6667 0.4961 (multiplicity 1)
3 O 0.0000 0.0000 0.2937 (multiplicity 1)
4 O 0.3333 0.6667 0.8238 (multiplicity 1)